# 1
! Tb2PmDy3Tm6 | Alexandria via LeMat-Bulk | PBE | optimized geometry; values from VASP
! magnetization = 0.00 Bohr magnetons per cell
! space group = C2/m (12)
&SYSTEM
  ibrav = 0, nat = 12, ntyp = 4
/
ATOMIC_SPECIES
Tb 158.93 Tb.upf
Tm 168.93 Tm.upf
Dy 162.50 Dy.upf
Pm 145.00 Pm.upf
CELL_PARAMETERS angstrom
6.109 0.001 0.007
-3.052 5.292 0.007
-1.030 -1.784 11.464
ATOMIC_POSITIONS crystal
Tb 0.667 0.333 0.000
Tb 0.333 0.667 0.000
Tm 0.084 0.418 0.251
Tm 0.418 0.084 0.251
Tm 0.916 0.582 0.749
Tm 0.582 0.916 0.749
Tm 0.250 0.250 0.749
Tm 0.750 0.750 0.251
Dy 0.833 0.167 0.500
Dy 0.167 0.833 0.500
Dy 0.500 0.500 0.500
Pm 0.000 0.000 0.000



# 2
! TbPm2DyTm5 | Alexandria via LeMat-Bulk | PBE | optimized geometry; values from VASP
! magnetization = 0.00 Bohr magnetons per cell
! space group = I4/mcm (140)
&SYSTEM
  ibrav = 0, nat = 18, ntyp = 4
/
ATOMIC_SPECIES
Tm 168.93 Tm.upf
Dy 162.50 Dy.upf
Pm 145.00 Pm.upf
Tb 158.93 Tb.upf
CELL_PARAMETERS angstrom
-4.138 -7.185 -2.240
5.533 -1.171 -6.464
3.876 0.094 9.006
ATOMIC_POSITIONS crystal
Tm 0.000 0.000 0.000
Tm 0.650 0.150 0.722
Tm 0.928 0.428 0.278
Tm 0.850 0.928 0.278
Tm 0.350 0.850 0.278
Tm 0.072 0.572 0.722
Tm 0.428 0.350 0.278
Tm 0.150 0.072 0.722
Tm 0.500 0.500 0.000
Tm 0.572 0.650 0.722
Dy 0.250 0.750 0.500
Dy 0.750 0.250 0.500
Pm 0.617 0.117 0.000
Pm 0.883 0.617 0.000
Pm 0.383 0.883 0.000
Pm 0.117 0.383 0.000
Tb 0.250 0.250 0.500
Tb 0.750 0.750 0.500



# 3
! Tb3Pm6DyTm2 | Alexandria via LeMat-Bulk | PBE | optimized geometry; values from VASP
! magnetization = 0.00 Bohr magnetons per cell
! space group = C2/m (12)
&SYSTEM
  ibrav = 0, nat = 12, ntyp = 4
/
ATOMIC_SPECIES
Pm 145.00 Pm.upf
Tb 158.93 Tb.upf
Tm 168.93 Tm.upf
Dy 162.50 Dy.upf
CELL_PARAMETERS angstrom
-2.902 2.390 4.972
2.984 -5.454 0.456
9.727 6.607 1.202
ATOMIC_POSITIONS crystal
Pm 0.417 0.083 0.248
Pm 0.917 0.583 0.752
Pm 0.083 0.417 0.248
Pm 0.750 0.750 0.248
Pm 0.583 0.917 0.752
Pm 0.250 0.250 0.752
Tb 0.833 0.167 0.500
Tb 0.500 0.500 0.500
Tb 0.167 0.833 0.500
Tm 0.667 0.333 0.000
Tm 0.333 0.667 0.000
Dy 0.000 0.000 0.000



Per-record energy of formation from the pure elements, eV per formula unit: 0.3 2.5 0.2